Below is a relaxed TbLu2Au crystal, with properties calculated at the GGA-PBE level.

Properties
Formation enthalpy at 0 K (kJ/mol of atoms): -29
ΔE to the lowest computed polymorph (meV per atom): 119
SG: R-3m
Volume (Å³ per atom): 28.19
Density of states at the Fermi level (states/eV per atom): 1.1459

CIF file:
```
data_TbLu2Au
_chemical_formula_sum 'Tb1 Lu2 Au1'
_space_group_name_H-M_alt 'P 1'
_space_group_IT_number 1
_cell_length_a 3.6506
_cell_length_b 3.6506
_cell_length_c 9.9945
_cell_angle_alpha 79.48
_cell_angle_beta 79.48
_cell_angle_gamma 60.00
loop_
_space_group_symop_operation_xyz
'x,y,z'
loop_
_atom_site_label
_atom_site_type_symbol
_atom_site_fract_x
_atom_site_fract_y
_atom_site_fract_z
Tb1 Tb 0.5000 0.5000 0.5000
Lu1 Lu 0.2645 0.2645 0.2066
Lu2 Lu 0.7355 0.7355 0.7934
Au1 Au 0.0000 0.0000 0.0000
```